Run A
DFT (PBEsol) results for crystalline MgTlCd2 at its relaxed geometry.

Lattice parameters (Å, degrees): 3.256 5.191 5.640 97.98 106.78 90.00
Fractional coordinates of all 4 atoms:
Cd: 0.755 0.759 0.511
Mg: 0.500 0.000 0.000
Tl: 0.000 0.500 0.000
Cd: 0.245 0.241 0.489

Computed properties:
Size of the total moment = 0.00 μB per formula unit
Space group = C2/m (12)
Density = 8.34 g/cm3

---

Run B
DFT (PBEsol) results for crystalline MgTlCd2 at its relaxed geometry.

Lattice parameters (Å, degrees): 3.717 3.717 6.614 90.00 90.00 90.00
Fractional coordinates of all 4 atoms:
Cd: 0.000 0.000 0.016
Tl: 0.500 0.500 0.748
Mg: 0.000 0.000 0.489
Cd: 0.500 0.500 0.248

Computed properties:
Size of the total moment = 0.00 μB per formula unit
Space group = P4mm (99)
Density = 8.24 g/cm3

---

Consider the structures shown above. The most stable of them is run A.